# 1
The following is a DFT calculation (PBE) of a relaxed structure of Er2Ag2SnPb.

POSCAR file:
```
Er2Ag2SnPb
1.0
4.758 0.000 0.000
-2.379 4.120 0.000
0.000 0.000 7.388
Er Ag Sn Pb
2 2 1 1
Direct
0.000 0.000 0.000 Er
0.000 0.000 0.495 Er
0.333 0.667 0.188 Ag
0.667 0.333 0.673 Ag
0.667 0.333 0.275 Sn
0.333 0.667 0.777 Pb
```

Values from the calculation:
DFT total energy in Ry per atom: -0.310

---

# 2
The following is a DFT calculation (PBE) of a relaxed structure of CoBi2Pb.

POSCAR file:
```
CoBi2Pb
1.0
0.000 3.735 3.735
3.735 0.000 3.735
3.735 3.735 0.000
Co Bi Pb
1 2 1
Direct
0.000 0.000 0.000 Co
0.250 0.250 0.250 Bi
0.500 0.500 0.500 Bi
0.750 0.750 0.750 Pb
```

Values from the calculation:
DFT total energy in Ry per atom: -0.300

---

# 3
The following is a DFT calculation (PBE) of a relaxed structure of Zr3Cu.

POSCAR file:
```
Zr3Cu
1.0
5.023 0.000 0.000
0.000 5.947 0.000
0.000 0.000 5.387
Zr Cu
6 2
Direct
0.250 0.001 0.131 Zr
0.250 0.250 0.618 Zr
0.250 0.499 0.131 Zr
0.750 0.501 0.869 Zr
0.750 0.750 0.382 Zr
0.750 0.999 0.869 Zr
0.250 0.750 0.657 Cu
0.750 0.250 0.343 Cu
```

Values from the calculation:
Energy of formation in eV per atom: 0.052

---

# 4
The following is a DFT calculation (PBE) of a relaxed structure of ErLuCo2Ge2C.

POSCAR file:
```
ErLuCo2Ge2C
1.0
5.313 -1.937 0.000
5.313 1.937 0.000
-4.152 0.000 5.320
Er Lu Co Ge C
1 1 2 2 1
Direct
0.000 0.000 0.000 Er
0.118 0.118 0.580 Lu
0.367 0.367 0.208 Co
0.753 0.753 0.375 Co
0.400 0.400 0.594 Ge
0.718 0.718 0.986 Ge
0.561 0.561 0.294 C
```

Values from the calculation:
DFT total energy in Ry per atom: -0.483

---

# 5
The following is a DFT calculation (PBE) of a relaxed structure of SrPmB4.

POSCAR file:
```
SrPmB4
1.0
-1.574 3.778 3.882
1.574 -3.778 3.882
1.574 3.778 -3.882
Sr Pm B
1 1 4
Direct
0.000 0.000 0.000 Sr
0.500 0.500 0.000 Pm
0.022 0.752 0.269 B
0.483 0.752 0.731 B
0.517 0.248 0.269 B
0.978 0.248 0.731 B
```

Values from the calculation:
Excess energy over the best structure of this formula in the dataset in meV/atom: 0

---

# 6
The following is a DFT calculation (PBE) of a relaxed structure of Rb2ZrScO4.

POSCAR file:
```
Rb2ZrScO4
1.0
3.262 0.000 0.000
-1.631 2.825 0.000
0.000 0.000 12.759
Rb Zr Sc O
2 1 1 4
Direct
0.333 0.667 0.246 Rb
0.667 0.333 0.754 Rb
0.000 0.000 0.500 Zr
0.000 0.000 0.000 Sc
0.333 0.667 0.594 O
0.333 0.667 0.916 O
0.667 0.333 0.084 O
0.667 0.333 0.406 O
```

Values from the calculation:
DFT total energy in Ry per atom: -0.517